The following is a PBE-GGA calculation of Ho2MnCu2Ni5 after structural relaxation, from the Alexandria database.

a b c (Å): 8.8950 8.8950 3.6769
angles (deg): 90.00 90.00 90.00
With the nearest neighbours (Å) after each atom.
Fractional positions:
Ho (0.1800, 0.3200, 0.0000)  3 Cu 2.55-2.70
Ho (0.3200, 0.8200, 0.0000)  3 Cu 2.55-2.70
Ho (0.6800, 0.1800, 0.0000)  3 Cu 2.55-2.70
Ho (0.8200, 0.6800, 0.0000)  3 Cu 2.55-2.70
Mn (0.0000, 0.0000, 0.0000)  8 Ni 2.63
Mn (0.5000, 0.5000, 0.0000)  8 Ni 2.63
Cu (0.1173, 0.6173, 0.0000)  6 Ni 2.36-2.49, 1 Ho 2.55
Cu (0.3827, 0.1173, 0.0000)  6 Ni 2.36-2.49, 1 Ho 2.55
Cu (0.6173, 0.8827, 0.0000)  6 Ni 2.36-2.49, 1 Ho 2.55
Cu (0.8827, 0.3827, 0.0000)  6 Ni 2.36-2.49, 1 Ho 2.55
Ni (0.0000, 0.5000, 0.5000)  4 Cu 2.36
Ni (0.0590, 0.7966, 0.5000)  2 Cu 2.49, 2 Mn 2.63, 3 Ni 2.66-2.69
Ni (0.2034, 0.0590, 0.5000)  2 Cu 2.49, 2 Mn 2.63, 3 Ni 2.66-2.69
Ni (0.2966, 0.5590, 0.5000)  2 Cu 2.49, 2 Mn 2.63, 3 Ni 2.66-2.69
Ni (0.4410, 0.2966, 0.5000)  2 Cu 2.49, 2 Mn 2.63, 3 Ni 2.66-2.69
Ni (0.5000, 0.0000, 0.5000)  4 Cu 2.36
Ni (0.5590, 0.7034, 0.5000)  2 Cu 2.49, 2 Mn 2.63, 3 Ni 2.66-2.69
Ni (0.7034, 0.4410, 0.5000)  2 Cu 2.49, 2 Mn 2.63, 3 Ni 2.66-2.69
Ni (0.7966, 0.9410, 0.5000)  2 Cu 2.49, 2 Mn 2.63, 3 Ni 2.66-2.69
Ni (0.9410, 0.2034, 0.5000)  2 Cu 2.49, 2 Mn 2.63, 3 Ni 2.66-2.69

Results
As for the formation energy: -0.21 eV/atom. As for the total energy: -115.0 eV for the cell shown. The value obtained for the total magnetization is 4.4 μB per formula unit.



The following is a PBE-GGA calculation of Hf8ZrBi2 after structural relaxation, from the Alexandria database.

a b c (Å): 7.9178 7.9178 5.3930
angles (deg): 102.11 102.11 120.85
With the nearest neighbours (Å) after each atom.
Fractional positions:
Hf (0.0995, 0.3119, 0.6533)  4 Hf 2.92-3.15, 2 Bi 3.03-3.08
Hf (0.2122, 0.7878, 0.0000)  1 Zr 2.92, 2 Bi 2.97
Hf (0.3119, 0.0995, 0.6533)  4 Hf 2.92-3.15, 2 Bi 3.03-3.08
Hf (0.4045, 0.4045, 0.1895)  1 Zr 2.88, 6 Hf 3.00-3.15, 2 Bi 3.11
Hf (0.5955, 0.5955, 0.8105)  1 Zr 2.88, 6 Hf 3.00-3.15, 2 Bi 3.11
Hf (0.6881, 0.9005, 0.3467)  4 Hf 2.92-3.15, 2 Bi 3.03-3.08
Hf (0.7878, 0.2122, 0.0000)  1 Zr 2.92, 2 Bi 2.97
Hf (0.9005, 0.6881, 0.3467)  4 Hf 2.92-3.15, 2 Bi 3.03-3.08
Zr (0.0000, 0.0000, 0.0000)  4 Hf 2.88-2.92
Bi (0.3031, 0.6969, 0.5000)  8 Hf 2.97-3.11
Bi (0.6969, 0.3031, 0.5000)  8 Hf 2.97-3.11

Results
As for the formation energy: 0.13 eV/atom. As for the total energy: -94.5 eV for the cell shown. The value obtained for the total magnetization is 0.0 μB per formula unit.



The following is a PBE-GGA calculation of AcPm2Ga2Cu2 after structural relaxation, from the Alexandria database.

a b c (Å): 9.9542 9.9542 9.9542
angles (deg): 26.32 26.32 26.32
With the nearest neighbours (Å) after each atom.
Fractional positions:
Ac (0.0000, 0.0000, 0.0000)  6 Cu 3.38, 6 Ga 3.44, 2 Pm 3.65
Pm (0.1267, 0.1267, 0.1267)  3 Ga 2.98, 3 Cu 3.02
Pm (0.8733, 0.8733, 0.8733)  3 Ga 2.98, 3 Cu 3.02
Ga (0.2558, 0.2558, 0.2558)  3 Cu 2.62
Ga (0.7442, 0.7442, 0.7442)  3 Cu 2.62
Cu (0.4078, 0.4078, 0.4078)  3 Ga 2.62
Cu (0.5922, 0.5922, 0.5922)  3 Ga 2.62

Results
As for the formation energy: -0.37 eV/atom. As for the total energy: -30.4 eV for the cell shown. The value obtained for the total magnetization is 0.0 μB per formula unit.



The following is a PBE-GGA calculation of Te3Ru4 after structural relaxation, from the Alexandria database.

a b c (Å): 3.1544 3.1544 27.1278
angles (deg): 90.00 90.00 90.00
With the nearest neighbours (Å) after each atom.
Fractional positions:
Te (0.0000, 0.0000, 0.0000)  8 Ru 2.72
Te (0.0000, 0.0000, 0.3171)  4 Ru 2.67
Te (0.0000, 0.0000, 0.6829)  4 Ru 2.67
Te (0.5000, 0.5000, 0.1829)  4 Ru 2.67
Te (0.5000, 0.5000, 0.5000)  8 Ru 2.72
Te (0.5000, 0.5000, 0.8171)  4 Ru 2.67
Ru (0.0000, 0.0000, 0.1290)  4 Te 2.67, 4 Ru 2.95
Ru (0.0000, 0.0000, 0.4424)  4 Te 2.72, 4 Ru 2.95
Ru (0.0000, 0.0000, 0.5576)  4 Te 2.72, 4 Ru 2.95
Ru (0.0000, 0.0000, 0.8710)  4 Te 2.67, 4 Ru 2.95
Ru (0.5000, 0.5000, 0.0576)  4 Te 2.72, 4 Ru 2.95
Ru (0.5000, 0.5000, 0.3710)  4 Te 2.67, 4 Ru 2.95
Ru (0.5000, 0.5000, 0.6290)  4 Te 2.67, 4 Ru 2.95
Ru (0.5000, 0.5000, 0.9424)  4 Te 2.72, 4 Ru 2.95

Results
As for the total energy: -88.9 eV for the cell shown. The value obtained for the total magnetization is 0.0 μB per formula unit. As for the formation energy (no corrections): 297 meV per atom.



Copy entry 4 word for word.
The following is a PBE-GGA calculation of Te3Ru4 after structural relaxation, from the Alexandria database.

a b c (Å): 3.1544 3.1544 27.1278
angles (deg): 90.00 90.00 90.00
With the nearest neighbours (Å) after each atom.
Fractional positions:
Te (0.0000, 0.0000, 0.0000)  8 Ru 2.72
Te (0.0000, 0.0000, 0.3171)  4 Ru 2.67
Te (0.0000, 0.0000, 0.6829)  4 Ru 2.67
Te (0.5000, 0.5000, 0.1829)  4 Ru 2.67
Te (0.5000, 0.5000, 0.5000)  8 Ru 2.72
Te (0.5000, 0.5000, 0.8171)  4 Ru 2.67
Ru (0.0000, 0.0000, 0.1290)  4 Te 2.67, 4 Ru 2.95
Ru (0.0000, 0.0000, 0.4424)  4 Te 2.72, 4 Ru 2.95
Ru (0.0000, 0.0000, 0.5576)  4 Te 2.72, 4 Ru 2.95
Ru (0.0000, 0.0000, 0.8710)  4 Te 2.67, 4 Ru 2.95
Ru (0.5000, 0.5000, 0.0576)  4 Te 2.72, 4 Ru 2.95
Ru (0.5000, 0.5000, 0.3710)  4 Te 2.67, 4 Ru 2.95
Ru (0.5000, 0.5000, 0.6290)  4 Te 2.67, 4 Ru 2.95
Ru (0.5000, 0.5000, 0.9424)  4 Te 2.72, 4 Ru 2.95

Results
As for the total energy: -88.9 eV for the cell shown. The value obtained for the total magnetization is 0.0 μB per formula unit. As for the formation energy (no corrections): 297 meV per atom.